This record from Alexandria via LeMat-Bulk describes an optimized crystal structure of CaGeI2O. The functional is PBE.

Polymorph energy (0 for the lowest one) (meV/atom): 0
Density of states at the Fermi level (states/eV per cell): 1.76
E_form (uncorrected) (meV per atom): -768
Space group: P4/mmm (123)
Theoretical density (kg/m³): 4466

CIF file:
```
data_CaGeI2O
_symmetry_space_group_name_H-M 'P 1'
_symmetry_Int_Tables_number 1
_cell_length_a 6.038
_cell_length_b 6.038
_cell_length_c 3.901
_cell_angle_alpha 90.00
_cell_angle_beta 90.00
_cell_angle_gamma 90.00
loop_
_symmetry_equiv_pos_as_xyz
'x,y,z'
loop_
_atom_site_label
_atom_site_type_symbol
_atom_site_fract_x
_atom_site_fract_y
_atom_site_fract_z
_atom_site_occupancy
Ca1 Ca 0.000 0.000 0.000 1
Ge1 Ge 0.500 0.500 0.500 1
I1 I 0.000 0.500 0.500 1
I2 I 0.500 0.000 0.500 1
O1 O 0.500 0.500 0.000 1
```